## CaAc2Mg9 (GGA-PBE)

Data for a relaxed CaAc2Mg9 crystal.

Lattice parameters (Å, degrees): 10.7856 10.7856 10.7856 33.76 33.76 33.76
Positions (direct):
Ca  0.0000  0.0000  0.0000
Ac  0.1434  0.1434  0.1434
Ac  0.8566  0.8566  0.8566
Mg  0.0801  0.5827  0.5827
Mg  0.3342  0.3342  0.3342
Mg  0.4173  0.4173  0.9199
Mg  0.4173  0.9199  0.4173
Mg  0.5000  0.5000  0.5000
Mg  0.5827  0.0801  0.5827
Mg  0.5827  0.5827  0.0801
Mg  0.6658  0.6658  0.6658
Mg  0.9199  0.4173  0.4173

D(E_F), states/eV per atom: 0.961
Total magnetic moment, μB per formula unit: 0.00

=====

## Ca2Ac2Mg (GGA-PBE)

Data for a relaxed Ca2Ac2Mg crystal.

Lattice parameters (Å, degrees): 9.5445 9.5445 9.5445 158.03 143.14 43.33
Positions (direct):
Ca  0.0945  0.0945  0.0000
Ca  0.9055  0.9055  0.0000
Ac  0.2951  0.7951  0.5000
Ac  0.7049  0.2049  0.5000
Mg  0.5000  0.5000  0.0000

D(E_F), states/eV per atom: 1.027
Total magnetic moment, μB per formula unit: 0.00

=====

## Ca7AcMg4 (GGA-PBE)

Data for a relaxed Ca7AcMg4 crystal.

Lattice parameters (Å, degrees): 8.3698 8.3698 10.9960 121.32 121.32 43.49
Positions (direct):
Ca  0.0000  0.0000  0.0000
Ca  0.2115  0.2115  0.6600
Ca  0.2801  0.2801  0.1125
Ca  0.4309  0.4309  0.5997
Ca  0.5691  0.5691  0.4003
Ca  0.7199  0.7199  0.8875
Ca  0.7885  0.7885  0.3400
Ac  0.5000  0.5000  0.0000
Mg  0.0450  0.0450  0.7499
Mg  0.1801  0.1801  0.3328
Mg  0.8199  0.8199  0.6672
Mg  0.9550  0.9550  0.2501

D(E_F), states/eV per atom: 1.197
Total magnetic moment, μB per formula unit: 0.00

=====

## CaAc2Mg (GGA-PBE)

Data for a relaxed CaAc2Mg crystal.

Lattice parameters (Å, degrees): 4.1813 4.1813 8.9286 90.00 90.00 90.00
Positions (direct):
Ca  0.0000  0.0000  0.0000
Ac  0.5000  0.5000  0.2787
Ac  0.5000  0.5000  0.7213
Mg  0.0000  0.0000  0.5000

D(E_F), states/eV per atom: 0.963
Distance to the lowest polymorph of the same formula, kJ/mol of atoms: 0.0
Total magnetic moment, μB per formula unit: 0.00

=====

Number 1: DFT formation energy -59 meV/atom, electronic total energy -2.107 eV per atom. Number 2: DFT formation energy 107 meV/atom, electronic total energy -2.656 eV per atom. Number 3: DFT formation energy 137 meV/atom, electronic total energy -1.905 eV per atom. Number 4: DFT formation energy -17 meV/atom, electronic total energy -2.970 eV per atom.